Entry 1:
Density functional theory data (PBE) for crystalline BaNdB12 at its relaxed geometry.

Properties
DOS at the Fermi energy in states/eV/f.u.: 3.33
Energy of formation from the pure elements in eV/atom: -0.445

a = 5.942 Å, b = 5.942 Å, c = 5.942 Å
α = 60.00°, β = 60.00°, γ = 60.00°
Sites, in units of the cell vectors:
Ba1 0.000 0.000 0.000
B1 0.899 0.601 0.601
B2 0.601 0.899 0.899
B3 0.601 0.601 0.899
B4 0.399 0.101 0.399
B5 0.101 0.399 0.101
B6 0.399 0.399 0.101
B7 0.101 0.399 0.399
B8 0.101 0.101 0.399
B9 0.899 0.601 0.899
B10 0.399 0.101 0.101
B11 0.899 0.899 0.601
B12 0.601 0.899 0.601
Nd1 0.500 0.500 0.500

***

Entry 2:
Density functional theory data (PBE) for crystalline BaNdBO4 at its relaxed geometry.

Properties
DFT total energy in eV per atom: -7.6689
DOS at the Fermi energy in states/eV/f.u.: 0.00

a = 5.205 Å, b = 5.457 Å, c = 7.343 Å
α = 90.00°, β = 108.94°, γ = 90.00°
Sites, in units of the cell vectors:
O1 0.022 0.972 0.268
O2 0.612 0.250 0.812
O3 0.645 0.250 0.476
O4 0.388 0.750 0.188
O5 0.978 0.472 0.732
O6 0.355 0.750 0.524
O7 0.022 0.528 0.268
O8 0.978 0.028 0.732
Ba1 0.696 0.750 0.922
Ba2 0.304 0.250 0.078
B1 0.798 0.250 0.694
B2 0.202 0.750 0.306
Nd1 0.781 0.750 0.465
Nd2 0.219 0.250 0.535

***

Entry 3:
Density functional theory data (PBE) for crystalline BaNdBS4 at its relaxed geometry.

Properties
DFT total energy in eV per atom: -5.8076
DOS at the Fermi energy in states/eV/f.u.: 0.00

a = 6.186 Å, b = 6.475 Å, c = 8.537 Å
α = 90.00°, β = 108.47°, γ = 90.00°
Sites, in units of the cell vectors:
Ba1 0.707 0.750 0.923
Ba2 0.293 0.250 0.077
S1 0.993 0.010 0.738
S2 0.371 0.750 0.544
S3 0.993 0.490 0.738
S4 0.396 0.750 0.163
S5 0.604 0.250 0.837
S6 0.007 0.510 0.262
S7 0.629 0.250 0.456
S8 0.007 0.990 0.262
Nd1 0.778 0.750 0.453
Nd2 0.222 0.250 0.547
B1 0.796 0.250 0.693
B2 0.204 0.750 0.307

***

Entry 4:
Density functional theory data (PBE) for crystalline Ba2NdB2S6 at its relaxed geometry.

Properties
DFT total energy in eV per atom: -5.5538
DOS at the Fermi energy in states/eV/f.u.: 4.02

a = 6.568 Å, b = 6.652 Å, c = 8.235 Å
α = 115.22°, β = 90.00°, γ = 119.59°
Sites, in units of the cell vectors:
S1 0.804 0.089 0.805
S2 0.196 0.911 0.195
S3 0.772 0.544 0.641
S4 0.285 0.089 0.805
S5 0.228 0.456 0.359
S6 0.715 0.911 0.195
Nd1 0.500 0.000 0.500
B1 0.048 0.096 0.256
B2 0.952 0.904 0.744
Ba1 0.710 0.420 0.207
Ba2 0.290 0.580 0.793

***

Entry 5:
Density functional theory data (PBE) for crystalline BaNi12B6 at its relaxed geometry.

Properties
DOS at the Fermi energy in states/eV/f.u.: 9.30
Energy of formation from the pure elements in eV/atom: -0.311

a = 6.127 Å, b = 6.127 Å, c = 6.127 Å
α = 104.67°, β = 104.67°, γ = 104.67°
Sites, in units of the cell vectors:
Ba1 0.000 0.000 0.000
Ni1 0.535 0.812 0.535
Ni2 0.465 0.465 0.188
Ni3 0.133 0.500 0.867
Ni4 0.535 0.535 0.812
Ni5 0.867 0.500 0.133
Ni6 0.133 0.867 0.500
Ni7 0.500 0.867 0.133
Ni8 0.867 0.133 0.500
Ni9 0.465 0.188 0.465
Ni10 0.188 0.465 0.465
Ni11 0.500 0.133 0.867
Ni12 0.812 0.535 0.535
B1 0.231 0.649 0.231
B2 0.769 0.769 0.351
B3 0.351 0.769 0.769
B4 0.649 0.231 0.231
B5 0.769 0.351 0.769
B6 0.231 0.231 0.649

***

Entry 6:
Density functional theory data (PBE) for crystalline BaNiB2 at its relaxed geometry.

Properties
Energy above the lowest structure with this stoichiometry in eV/atom: 0.0000
DOS at the Fermi energy in states/eV/f.u.: 0.14
Energy of formation from the pure elements in eV/atom: 0.153

a = 5.085 Å, b = 5.085 Å, c = 6.594 Å
α = 67.32°, β = 67.32°, γ = 90.00°
Sites, in units of the cell vectors:
Ba1 0.000 0.000 0.000
Ba2 0.750 0.250 0.500
B1 0.375 0.625 0.750
B2 0.375 0.125 0.250
B3 0.375 0.625 0.250
B4 0.875 0.625 0.750
Ni1 0.500 0.500 0.000
Ni2 0.250 0.750 0.500